First-principles (GGA-PBE) data for a relaxed LiTiN2Cl crystal, as listed in the Alexandria database.

The structure belongs to space group P4/mmm (No. 123); the cell edges are 3.8459, 3.8459 and 5.3083 Å and the angles 90.00°, 90.00° and 90.00°. Symmetry generates all atoms from Li at (0.0000, 0.0000, 0.0000), Ti at (0.5000, 0.5000, 0.5000), N at (0.0000, 0.5000, 0.5000) and Cl at (0.5000, 0.5000, 0.0000).

As for the crystal system: tetragonal. Its density of states at the Fermi level is 1.862 states/eV/cell. For the uncorrected formation energy, the calculation gives -385 meV per atom. The value obtained for the calculated volume is 78.5 Å³ per cell.

First-principles (GGA-PBE) data for a relaxed VSbAsSe2 crystal, as listed in the Alexandria database.

The structure belongs to space group P4/mmm (No. 123); the cell edges are 4.7717, 4.7717 and 5.0476 Å and the angles 90.00°, 90.00° and 90.00°. Symmetry generates all atoms from V at (0.0000, 0.0000, 0.0000), Sb at (0.5000, 0.5000, 0.5000), As at (0.0000, 0.0000, 0.5000) and Se at (0.0000, 0.5000, 0.0000).

As for the crystal system: tetragonal. Its density of states at the Fermi level is 4.458 states/eV/cell. For the uncorrected formation energy, the calculation gives 150 meV per atom. The value obtained for the calculated volume is 114.9 Å³ per cell. Its energy above the most stable polymorph in this dataset is 0.000 eV per atom.